Computed, not measured: a relaxed structure of SrAl2Co at the PBE level of DFT.

Cell and atoms, written as extended XYZ:
```
4
Lattice="4.129 0.000 0.000 0.000 4.129 0.000 0.000 0.000 4.764" Properties=species:S:1:pos:R:3 pbc="T T T"
Sr 0.000 0.000 0.000
Al 0.000 2.065 2.382
Al 2.065 0.000 2.382
Co 2.065 2.065 0.000
```

Properties
density	4.1	g/cm3
energy relative to the elements	0.332	eV/atom
VASP energy	-0.13732	hartree per atom
density of states at the Fermi level	3.332	states/eV per cell